Material: ThScIr
Method: DFT, PBE
State: relaxed

Computed properties:
Calculated formation energy ... -0.497 eV per atom
Relative energy among the computed polymorphs ... 243 meV/atom
Total magnetic moment ... 0.000 μB/atom

Cell: 6.7777 6.7777 6.7777 Å, 151.71 151.71 40.44°
Fractional positions:
Th 0.0000 0.0000 0.0000
Sc 0.2748 0.2748 0.0000
Ir 0.6591 0.6591 0.0000

***

Material: Tl2HSe
Method: DFT, PBE
State: relaxed

Computed properties:
Relative energy among the computed polymorphs ... 125 meV/atom
Total magnetic moment ... 0.000 μB/atom

Cell: 7.1745 7.1745 7.1745 Å, 129.15 129.15 74.78°
Fractional positions:
Tl 0.0482 0.6250 0.9232
Tl 0.3750 0.2982 0.4232
Tl 0.7018 0.1250 0.0768
Tl 0.8750 0.9518 0.5768
H 0.0000 0.0000 0.0000
H 0.7500 0.2500 0.5000
Se 0.2500 0.7500 0.5000
Se 0.5000 0.5000 0.0000

***

Density of states at the Fermi level / states/eV/cell: 4.2, 1.3